NiH2Pt | Alexandria via LeMat-Bulk | PBE-GGA | optimized geometry; final energy = -0.167 hartree per atom; total magnetization = 0.00 μB per formula unit; symmetry = R3m, No. 160
1.0
1.357 0.784 5.172
-1.357 0.784 5.172
0.000 -1.567 5.172
Ni H Pt
1 2 1
Direct
0.000 0.000 0.000 Ni
0.381 0.381 0.381 H
0.618 0.618 0.618 H
0.826 0.826 0.826 Pt